(1)
Re2PCl | PBE-GGA | relaxed

a = 8.060 Å, b = 8.060 Å, c = 8.060 Å
α = 20.76°, β = 20.76°, γ = 20.76°
Fractional positions:
Cl1 0.250 0.250 0.250
P1 0.750 0.750 0.750
Re1 0.007 0.007 0.007
Re2 0.493 0.493 0.493

## Properties
uncorrected formation energy	0.395	eV/atom
magnetization	0.00	μB/f.u.
calculated volume	14.4	Å³/atom
crystal system	trigonal

(2)
CoRh2Cl | PBE-GGA | relaxed

a = 2.825 Å, b = 2.825 Å, c = 7.249 Å
α = 90.00°, β = 90.00°, γ = 90.00°
Last column: magnetic moment on the atom in μB.
Fractional positions:
Co1 0.500 0.500 0.752  1.93
Rh1 0.000 0.000 0.986  0.23
Rh2 0.500 0.500 0.234  -0.41
Cl1 0.000 0.000 0.528  0.10

## Properties
uncorrected formation energy	0.356	eV/atom
magnetization	1.83	μB/f.u.
calculated volume	14.5	Å³/atom
crystal system	tetragonal

(3)
PrTc4B4 | PBE-GGA | relaxed

a = 4.217 Å, b = 7.484 Å, c = 7.484 Å
α = 90.00°, β = 90.00°, γ = 90.00°
Fractional positions:
Pr1 0.000 0.000 0.000
Pr2 0.500 0.500 0.500
Tc1 0.373 0.365 0.879
Tc2 0.873 0.621 0.865
Tc3 0.373 0.635 0.121
Tc4 0.127 0.135 0.621
Tc5 0.627 0.879 0.635
Tc6 0.127 0.865 0.379
Tc7 0.873 0.379 0.135
Tc8 0.627 0.121 0.365
B1 0.625 0.828 0.307
B2 0.625 0.172 0.693
B3 0.125 0.807 0.672
B4 0.875 0.328 0.807
B5 0.875 0.672 0.193
B6 0.375 0.307 0.172
B7 0.375 0.693 0.828
B8 0.125 0.193 0.328

## Properties
energy of formation from the pure elements	-0.3813	eV/atom
magnetization	0.00	μB/f.u.
calculated volume	13.1	Å³/atom
crystal system	tetragonal

(4)
LiLa2Al4Pd3 | PBE-GGA | relaxed

a = 4.481 Å, b = 4.481 Å, c = 9.997 Å
α = 90.00°, β = 90.00°, γ = 90.00°
Fractional positions:
Li1 0.500 0.500 0.500
La1 0.500 0.000 0.252
La2 0.000 0.500 0.748
Al1 0.500 0.500 0.000
Al2 0.000 0.000 0.000
Al3 0.500 0.000 0.623
Al4 0.000 0.500 0.377
Pd1 0.000 0.000 0.500
Pd2 0.500 0.000 0.873
Pd3 0.000 0.500 0.127

## Properties
energy of formation from the pure elements	-0.7054	eV/atom
magnetization	0.00	μB/f.u.
calculated volume	20.1	Å³/atom
crystal system	tetragonal

(5)
BaFeOs2 | PBE-GGA | relaxed

a = 3.047 Å, b = 3.047 Å, c = 8.079 Å
α = 90.00°, β = 90.00°, γ = 90.00°
Last column: magnetic moment on the atom in μB.
Fractional positions:
Ba1 0.500 0.500 0.250  -0.03
Fe1 0.500 0.500 0.750  2.10
Os1 0.000 0.000 0.916  -0.15
Os2 0.000 0.000 0.584  -0.15

## Properties
energy of formation from the pure elements	0.8045	eV/atom
magnetization	1.70	μB/f.u.
calculated volume	18.8	Å³/atom
crystal system	tetragonal

(6)
TbPrNd2Tm5 | PBE-GGA | relaxed

a = 8.711 Å, b = 8.711 Å, c = 9.842 Å
α = 116.27°, β = 116.27°, γ = 90.00°
Fractional positions:
Tb1 0.250 0.750 0.500
Tb2 0.750 0.250 0.500
Pr1 0.250 0.250 0.500
Pr2 0.750 0.750 0.500
Nd1 0.117 0.383 0.000
Nd2 0.617 0.117 0.000
Nd3 0.383 0.883 0.000
Nd4 0.883 0.617 0.000
Tm1 0.927 0.427 0.275
Tm2 0.652 0.152 0.725
Tm3 0.073 0.573 0.725
Tm4 0.152 0.073 0.725
Tm5 0.573 0.652 0.725
Tm6 0.848 0.927 0.275
Tm7 0.427 0.348 0.275
Tm8 0.348 0.848 0.275
Tm9 0.500 0.500 0.000
Tm10 0.000 0.000 0.000

## Properties
energy of formation from the pure elements	0.2587	eV/atom
magnetization	0.00	μB/f.u.
calculated volume	32.4	Å³/atom
crystal system	tetragonal

DOS at the Fermi energy values (in states/eV per atom) by entry order: 0.4830; 1.4425; 0.7261; 0.8363; 1.0773; 1.0705.